Entry 1:
12
Lattice="2.854 -4.938 0.000 2.854 4.938 0.000 -1.905 0.000 5.444" Properties=species:S:1:pos:R:3 comment="PBE-GGA TbTm2Hf3N6, relaxed" density_g_cm3=12.08 formation_energy_uncorrected_kj_per_mol_fu=-2106 dft_energy_ev_per_atom=-9.60 pbc="T T T"
Tb 0.000 0.000 0.000
Tm 2.854 1.648 0.000
Tm 2.854 -1.648 0.000
Hf 1.901 3.286 2.722
Hf 1.901 0.000 2.722
Hf 1.901 -3.286 2.722
N 0.964 1.669 1.475
N 0.024 0.000 3.966
N 0.964 -1.669 1.475
N 2.838 1.669 3.969
N 3.778 0.000 1.478
N 2.838 -1.669 3.969

Entry 2:
5
Lattice="6.175 0.000 0.000 0.000 6.175 0.000 0.000 0.000 5.890" Properties=species:S:1:pos:R:3 comment="PBE-GGA BaSr2CaCu, relaxed" density_g_cm3=3.08 formation_enthalpy_0k_ev_per_atom=-0.010 dft_energy_ev_per_atom=-2.29 pbc="T T T"
Ba 0.000 0.000 0.000
Sr 0.000 3.087 2.945
Sr 3.087 0.000 2.945
Ca 3.087 3.087 0.000
Cu 3.087 3.087 2.945

Entry 3:
16
Lattice="6.661 0.000 0.000 0.000 6.661 0.000 0.000 0.000 6.661" Properties=species:S:1:pos:R:3 comment="PBE-GGA Tl2NiRu, relaxed" density_g_cm3=12.77 formation_enthalpy_0k_ev_per_atom=0.813 dft_energy_ev_per_atom=-4.13 pbc="T T T"
Tl 0.000 0.000 0.000
Tl 0.000 3.331 3.331
Tl 1.665 1.665 1.665
Tl 1.665 4.996 4.996
Tl 3.331 0.000 3.331
Tl 3.331 3.331 0.000
Tl 4.996 1.665 4.996
Tl 4.996 4.996 1.665
Ni 1.665 1.665 4.996
Ni 1.665 4.996 1.665
Ni 4.996 1.665 1.665
Ni 4.996 4.996 4.996
Ru 0.000 0.000 3.331
Ru 0.000 3.331 0.000
Ru 3.331 0.000 0.000
Ru 3.331 3.331 3.331

Entry 4:
12
Lattice="7.567 0.000 0.000 0.000 7.567 0.000 0.000 0.000 7.567" Properties=species:S:1:pos:R:3 comment="PBE-GGA BaRuCl, relaxed" density_g_cm3=4.20 formation_energy_uncorrected_kj_per_mol_fu=126 dft_energy_ev_per_atom=-3.91 pbc="T T T"
Ba 0.000 0.000 0.000
Ba 0.000 3.784 3.784
Ba 3.784 0.000 3.784
Ba 3.784 3.784 0.000
Ru 1.892 1.892 5.675
Ru 1.892 5.675 1.892
Ru 5.675 1.892 1.892
Ru 5.675 5.675 5.675
Cl 1.892 1.892 1.892
Cl 1.892 5.675 5.675
Cl 5.675 1.892 5.675
Cl 5.675 5.675 1.892

Entry 5:
5
Lattice="5.151 0.000 0.000 0.000 5.151 0.000 0.000 0.000 5.151" Properties=species:S:1:pos:R:3 comment="PBE-GGA RbHfTa3, relaxed" density_g_cm3=9.80 formation_enthalpy_0k_ev_per_atom=2.086 dft_energy_ev_per_atom=-7.21 pbc="T T T"
Rb 0.000 0.000 0.000
Hf 2.575 2.575 2.575
Ta 0.000 2.575 2.575
Ta 2.575 0.000 2.575
Ta 2.575 2.575 0.000

Entry 6:
12
Lattice="5.095 0.000 0.000 0.000 5.095 0.000 0.000 0.000 15.557" Properties=species:S:1:pos:R:3 comment="PBE-GGA La9HoPb2, relaxed" density_g_cm3=7.52 formation_enthalpy_0k_ev_per_atom=-0.237 dft_energy_ev_per_atom=-4.93 pbc="T T T"
La 0.000 0.000 0.000
La 0.000 0.000 5.230
La 0.000 0.000 10.327
La 0.000 2.548 2.660
La 0.000 2.548 7.778
La 0.000 2.548 12.897
La 2.548 0.000 2.660
La 2.548 0.000 7.778
La 2.548 0.000 12.897
Ho 2.548 2.548 0.000
Pb 2.548 2.548 5.237
Pb 2.548 2.548 10.320

Entry 7:
10
Lattice="6.715 0.000 0.000 0.000 6.715 0.000 0.000 0.000 2.962" Properties=species:S:1:pos:R:3 comment="PBE-GGA Cu2BrF2, relaxed" density_g_cm3=6.09 formation_energy_uncorrected_kj_per_mol_fu=-297 dft_energy_ev_per_atom=-3.34 pbc="T T T"
Cu 0.958 2.400 0.000
Cu 2.400 5.758 0.000
Cu 4.315 0.958 0.000
Cu 5.758 4.315 0.000
Br 0.000 0.000 0.000
Br 3.358 3.358 0.000
F 0.877 4.235 1.481
F 2.480 0.877 1.481
F 4.235 5.838 1.481
F 5.838 2.480 1.481

Entry 8:
12
Lattice="2.716 0.000 0.000 -1.358 2.352 0.000 0.000 0.000 30.385" Properties=species:S:1:pos:R:3 comment="PBE-GGA Li2TiZn, relaxed" density_g_cm3=3.26 formation_enthalpy_0k_ev_per_atom=0.139 dft_energy_ev_per_atom=-3.11 pbc="T T T"
Li 0.000 0.000 2.714
Li 0.000 0.000 27.670
Li 0.000 1.568 17.542
Li 0.000 1.568 22.971
Li 1.358 0.784 7.414
Li 1.358 0.784 12.843
Ti 0.000 0.000 0.000
Ti 0.000 1.568 20.256
Ti 1.358 0.784 10.128
Zn 0.000 0.000 15.192
Zn 0.000 1.568 5.064
Zn 1.358 0.784 25.321

Entry 9:
12
Lattice="3.502 0.000 0.000 -1.751 3.033 0.000 0.000 0.000 25.092" Properties=species:S:1:pos:R:3 comment="PBE-GGA ThPS2, relaxed" density_g_cm3=6.11 formation_energy_uncorrected_kj_per_mol_fu=-45 dft_energy_ev_per_atom=-5.39 pbc="T T T"
Th 0.000 0.000 0.000
Th 0.000 2.022 16.728
Th 1.751 1.011 8.364
P 0.000 0.000 12.546
P 0.000 2.022 4.182
P 1.751 1.011 20.910
S 0.000 0.000 2.801
S 0.000 0.000 22.291
S 0.000 2.022 13.927
S 0.000 2.022 19.529
S 1.751 1.011 5.563
S 1.751 1.011 11.165

Entry 10:
16
Lattice="6.399 0.000 0.000 0.000 6.399 0.000 0.000 0.000 12.794" Properties=species:S:1:pos:R:3 comment="PBE-GGA Y2RuBr, relaxed" density_g_cm3=4.55 formation_energy_uncorrected_kj_per_mol_fu=-86 dft_energy_ev_per_atom=-6.19 pbc="T T T"
Y 1.249 1.600 1.599
Y 1.600 4.449 4.798
Y 1.600 5.150 11.195
Y 1.950 1.600 7.996
Y 4.449 4.799 7.996
Y 4.799 1.249 11.195
Y 4.799 1.950 4.798
Y 5.150 4.799 1.599
Ru 0.000 0.000 0.000
Ru 0.000 3.200 3.199
Ru 3.200 0.000 9.596
Ru 3.200 3.200 6.397
Br 0.000 0.000 6.397
Br 0.000 3.200 9.596
Br 3.200 0.000 3.199
Br 3.200 3.200 0.000

Entry 11:
12
Lattice="3.678 0.000 0.000 -1.839 3.185 0.000 0.000 0.000 27.964" Properties=species:S:1:pos:R:3 comment="PBE-GGA Ca2NdH, relaxed" density_g_cm3=3.43 dft_energy_ev_per_atom=-3.14 pbc="T T T"
Ca 0.000 0.000 0.000
Ca 0.000 0.000 6.258
Ca 0.000 2.123 18.643
Ca 0.000 2.123 24.901
Ca 1.839 1.062 9.321
Ca 1.839 1.062 15.580
Nd 0.000 0.000 21.796
Nd 0.000 2.123 12.474
Nd 1.839 1.062 3.153
H 0.000 0.000 17.157
H 0.000 2.123 7.836
H 1.839 1.062 26.478

Entry 12:
12
Lattice="8.486 0.000 0.000 0.000 4.884 0.000 -2.832 0.000 4.042" Properties=species:S:1:pos:R:3 comment="PBE-GGA Hf2Be3Re, relaxed" density_g_cm3=11.30 formation_enthalpy_0k_ev_per_atom=-0.227 dft_energy_ev_per_atom=-7.48 pbc="T T T"
Hf -0.004 0.000 1.516
Hf 1.415 2.442 2.526
Hf 4.239 2.442 1.516
Hf 5.658 0.000 2.526
Be 0.000 2.442 0.000
Be 2.122 1.221 0.000
Be 2.122 3.663 0.000
Be 4.243 0.000 0.000
Be 6.365 1.221 0.000
Be 6.365 3.663 0.000
Re -1.416 2.442 2.021
Re 2.827 0.000 2.021

Entry 13:
8
Lattice="7.440 0.000 0.000 0.000 4.257 0.000 -2.442 0.000 7.110" Properties=species:S:1:pos:R:3 comment="PBE-GGA AcPmPr2Se4, relaxed" density_g_cm3=7.15 formation_energy_uncorrected_kj_per_mol_fu=-1416 dft_energy_ev_per_atom=-5.88 pbc="T T T"
Ac 0.000 0.000 0.000
Pm -1.221 2.128 3.555
Pr 2.499 0.000 3.555
Pr 3.720 2.128 0.000
Se 0.043 0.000 5.275
Se 1.267 2.128 1.850
Se 3.731 2.128 5.260
Se 4.955 0.000 1.836

Entry 14:
4
Lattice="3.552 0.000 0.000 0.000 3.552 0.000 0.000 0.000 7.779" Properties=species:S:1:pos:R:3 comment="PBE-GGA Sm2ReHg, relaxed" density_g_cm3=11.63 formation_enthalpy_0k_ev_per_atom=-0.042 dft_energy_ev_per_atom=-5.59 pbc="T T T"
Sm 0.000 0.000 1.685
Sm 0.000 0.000 6.094
Re 1.776 1.776 0.000
Hg 1.776 1.776 3.890

Entry 15:
16
Lattice="5.652 0.000 0.000 0.000 5.652 0.000 0.000 0.000 5.652" Properties=species:S:1:pos:R:3 comment="PBE-GGA MnCr, relaxed" density_g_cm3=7.87 formation_enthalpy_0k_ev_per_atom=0.080 dft_energy_ev_per_atom=-9.32 pbc="T T T"
Mn 0.707 0.707 0.707
Mn 0.707 3.533 3.533
Mn 2.120 2.120 4.946
Mn 2.120 4.946 2.120
Mn 3.533 0.707 3.533
Mn 3.533 3.533 0.707
Mn 4.946 2.120 2.120
Mn 4.946 4.946 4.946
Cr 0.707 0.707 3.533
Cr 0.707 3.533 0.707
Cr 2.120 2.120 2.120
Cr 2.120 4.946 4.946
Cr 3.533 0.707 0.707
Cr 3.533 3.533 3.533
Cr 4.946 2.120 4.946
Cr 4.946 4.946 2.120

Entry 16:
10
Lattice="5.557 0.000 0.000 0.000 7.102 0.000 0.000 0.000 9.833" Properties=species:S:1:pos:R:3 comment="PBE-GGA Ac2TbPm2, relaxed" density_g_cm3=7.73 formation_enthalpy_0k_ev_per_atom=0.214 dft_energy_ev_per_atom=-4.26 pbc="T T T"
Ac 0.000 0.000 1.932
Ac 0.000 0.000 7.901
Ac 2.779 3.551 2.984
Ac 2.779 3.551 6.848
Tb 0.000 3.551 0.000
Tb 2.779 0.000 4.916
Pm 0.000 1.936 4.916
Pm 0.000 5.165 4.916
Pm 2.779 1.615 0.000
Pm 2.779 5.487 0.000

Entry 17:
5
Lattice="5.683 0.000 0.000 0.000 5.683 0.000 0.000 0.000 5.644" Properties=species:S:1:pos:R:3 comment="PBE-GGA LaAsPbSe2, relaxed" density_g_cm3=5.27 formation_energy_uncorrected_kj_per_mol_fu=-109 dft_energy_ev_per_atom=-4.28 pbc="T T T"
La 0.000 0.000 0.000
As 0.000 0.000 2.822
Pb 2.841 2.841 2.822
Se 0.000 2.841 0.000
Se 2.841 0.000 0.000

Entry 18:
12
Lattice="3.213 -5.585 0.000 3.213 5.585 0.000 -2.155 0.000 6.665" Properties=species:S:1:pos:R:3 comment="PBE-GGA Na3ErMn2S6, relaxed" density_g_cm3=3.74 formation_energy_uncorrected_kj_per_mol_fu=-1294 dft_energy_ev_per_atom=-5.42 pbc="T T T"
Na 0.000 0.000 0.000
Na 3.213 1.821 0.000
Na 3.213 -1.821 0.000
Er 2.136 0.000 3.333
Mn 2.136 3.723 3.333
Mn 2.136 -3.723 3.333
S 0.976 1.995 1.937
S -0.160 0.000 4.741
S 0.976 -1.995 1.937
S 3.295 1.995 4.728
S 4.432 0.000 1.925
S 3.295 -1.995 4.728

Entry 19:
12
Lattice="6.494 0.000 0.000 0.000 6.261 0.000 -2.189 0.000 5.907" Properties=species:S:1:pos:R:3 comment="PBE-GGA LaRuO, relaxed" density_g_cm3=7.08 formation_energy_uncorrected_kj_per_mol_fu=-252 dft_energy_ev_per_atom=-7.26 pbc="T T T"
La 1.022 0.000 1.501
La 0.036 3.131 4.406
La 4.269 3.131 1.501
La 3.283 0.000 4.406
Ru -0.835 0.000 4.254
Ru 1.893 3.131 1.652
Ru 2.412 3.131 4.254
Ru 5.140 0.000 1.652
O -0.017 3.131 1.976
O 1.075 0.000 3.931
O 3.230 0.000 1.976
O 4.323 3.131 3.931

Entry 20:
9
Lattice="7.314 -1.740 0.000 7.314 1.740 0.000 -2.171 0.000 6.850" Properties=species:S:1:pos:R:3 comment="PBE-GGA Cs2TbZn2O4, relaxed" density_g_cm3=5.90 formation_energy_uncorrected_kj_per_mol_fu=-1478 dft_energy_ev_per_atom=-4.89 pbc="T T T"
Cs 1.794 0.000 0.413
Cs 10.663 0.000 6.436
Tb -1.086 0.000 3.425
Zn 3.686 0.000 3.197
Zn 8.771 0.000 3.652
O 0.957 0.000 4.638
O 5.206 0.000 4.578
O 7.250 0.000 2.271
O 11.500 0.000 2.211